(1)
## ScPtN2F (meta-GGA SCAN)

Data for a crystal of ScPtN2F relaxed with PBEsol.

Computed properties:
Formation energy from raw total energies = 0.15 eV per atom
VASP energy = -21.163 eV per atom

Lattice parameters (Å, degrees): 4.163 4.163 3.756 90.00 90.00 90.00
Element x y z (fractional)
Sc (0.000, 0.000, 0.000)
Pt (0.500, 0.500, 0.500)
N (0.000, 0.500, 0.000)
N (0.500, 0.000, 0.000)
F (0.000, 0.000, 0.500)

---

(2)
## TcPtNF2 (meta-GGA SCAN)

Data for a crystal of TcPtNF2 relaxed with PBEsol.

Computed properties:
Formation energy from raw total energies = -0.04 eV per atom
VASP energy = -24.366 eV per atom

Lattice parameters (Å, degrees): 3.992 3.992 3.818 90.00 90.00 90.00
Element x y z (fractional)
Tc (0.000, 0.000, 0.000)
Pt (0.500, 0.500, 0.500)
N (0.000, 0.000, 0.500)
F (0.000, 0.500, 0.000)
F (0.500, 0.000, 0.000)

---

(3)
## TePtNF2 (meta-GGA SCAN)

Data for a crystal of TePtNF2 relaxed with PBEsol.

Computed properties:
Formation energy from raw total energies = 0.14 eV per atom
VASP energy = -24.620 eV per atom

Lattice parameters (Å, degrees): 4.445 4.445 3.724 90.00 90.00 90.00
Element x y z (fractional)
Te (0.000, 0.000, 0.000)
Pt (0.500, 0.500, 0.500)
N (0.500, 0.500, 0.000)
F (0.000, 0.500, 0.500)
F (0.500, 0.000, 0.500)